[1]
Compound: Sm2Y5Er12
Source: Alexandria via LeMat-Bulk
Functional: PBE
Structure: optimized geometry

Cell lengths 15.7914, 9.1384, 8.4741 Å; angles 90.00, 91.31, 90.00 degrees
Space group C2/m (No. 12)
One atom of each set of equivalent atoms:
Sm 0.0000 0.1835 0.0000 x4
Y 0.0000 0.5000 0.5000 x2
Y 0.1982 0.0000 0.0076 x4
Y 0.2336 0.5000 0.5759 x4
Er 0.0559 0.0000 0.3309 x4
Er 0.0928 0.5000 0.8846 x4
Er 0.1265 0.1923 0.6553 x8
Er 0.1557 0.3186 0.2456 x8

## Properties
Magnetic moment: 0.00 μB per formula unit

---

[2]
Compound: SmY12Er5
Source: Alexandria via LeMat-Bulk
Functional: PBE
Structure: optimized geometry

Cell lengths 10.6685, 5.0253, 10.6816 Å; angles 90.00, 90.10, 90.00 degrees
Space group P2/m (No. 10)
One atom of each set of equivalent atoms:
Sm 0.0000 0.0000 0.0000 x1
Y 0.0013 0.0000 0.6668 x2
Y 0.1664 0.5000 0.1663 x2
Y 0.1686 0.5000 0.5013 x2
Y 0.3332 0.0000 0.9987 x2
Y 0.3349 0.0000 0.3348 x2
Y 0.4987 0.5000 0.8314 x2
Er 0.1675 0.5000 0.8325 x2
Er 0.3335 0.0000 0.6665 x2
Er 0.5000 0.5000 0.5000 x1

## Properties
Magnetic moment: 0.00 μB per formula unit

---

[3]
Compound: Sm4Y11Er9
Source: Alexandria via LeMat-Bulk
Functional: PBE
Structure: optimized geometry

Cell lengths 16.6518, 25.0919, 3.6880 Å; angles 90.00, 90.00, 90.00 degrees
Space group Cmmm (No. 65)
One atom of each set of equivalent atoms:
Sm 0.1546 0.1006 0.0000 x8
Y 0.0000 0.1342 0.5000 x4
Y 0.0000 0.3404 0.5000 x4
Y 0.0000 0.5000 0.5000 x2
Y 0.2105 0.0000 0.5000 x4
Y 0.2255 0.3190 0.5000 x8
Er 0.0000 0.0000 0.0000 x2
Er 0.1016 0.2348 0.0000 x8
Er 0.1400 0.4275 0.0000 x8

## Properties
Magnetic moment: 0.60 μB per formula unit

---

no.,energy of formation (kJ/mol of formula units)
1,233
2,44
3,126